No. 1
LiPPtPb2 | PBE | relaxed

Calculated values
Space group: No. 123
Electronic total energy: -3.681 eV/atom
Formation energy: 476 meV per atom

Structure (extended XYZ):
```
5
Lattice="5.0671 0.0000 0.0000 0.0000 5.0671 0.0000 0.0000 0.0000 4.3466" Properties=species:S:1:pos:R:3 pbc="T T T"
Li 0.0000 0.0000 0.0000
P 2.5336 2.5336 2.1733
Pt 0.0000 0.0000 2.1733
Pb 0.0000 2.5336 0.0000
Pb 2.5336 0.0000 0.0000
```

=====

No. 2
CePu3Pt2 | PBE | relaxed

Calculated values
Space group: No. 26
Electronic total energy: -10.742 eV/atom
Formation energy: -573 meV per atom

Structure (extended XYZ):
```
12
Lattice="4.2041 0.0000 0.0000 0.0000 9.2862 0.0000 0.0000 0.0000 7.6186" Properties=species:S:1:pos:R:3 pbc="T T T"
Ce 0.0000 0.7176 0.0000
Ce 0.0000 8.5686 3.8093
Pu 0.0000 2.9612 4.5425
Pu 0.0000 6.3250 0.7332
Pu 2.1020 1.7005 2.4650
Pu 2.1020 3.9518 6.9898
Pu 2.1020 5.3344 3.1805
Pu 2.1020 7.5857 6.2743
Pt 0.0000 3.4753 1.4662
Pt 0.0000 5.8109 5.2755
Pt 2.1020 1.1758 5.5506
Pt 2.1020 8.1104 1.7413
```

=====

No. 3
Ac2PmGd | PBE | relaxed

Calculated values
Energy above the most stable polymorph in this dataset: 27 kJ/mol of formula units
Space group: No. 225
Electronic total energy: -6.662 eV/atom
Formation energy: 100 meV per atom

Structure (extended XYZ):
```
16
Lattice="8.5423 0.0000 0.0000 0.0000 8.5423 0.0000 0.0000 0.0000 8.5423" Properties=species:S:1:pos:R:3 pbc="T T T"
Ac 2.1356 2.1356 2.1356
Ac 2.1356 2.1356 6.4067
Ac 2.1356 6.4067 2.1356
Ac 2.1356 6.4067 6.4067
Ac 6.4067 2.1356 2.1356
Ac 6.4067 2.1356 6.4067
Ac 6.4067 6.4067 2.1356
Ac 6.4067 6.4067 6.4067
Pm 0.0000 0.0000 0.0000
Pm 0.0000 4.2712 4.2712
Pm 4.2712 0.0000 4.2712
Pm 4.2712 4.2712 0.0000
Gd 0.0000 0.0000 4.2712
Gd 0.0000 4.2712 0.0000
Gd 4.2712 0.0000 0.0000
Gd 4.2712 4.2712 4.2712
```

=====

No. 4
NaIn7Pb12 | PBE | relaxed

Calculated values
Energy above the most stable polymorph in this dataset: 71 kJ/mol of formula units
Space group: No. 148
Electronic total energy: -3.198 eV/atom
Formation energy: 51 meV per atom

Structure (extended XYZ):
```
20
Lattice="5.8496 3.3773 5.2864 -5.8496 3.3773 5.2864 0.0000 -6.7546 5.2864" Properties=species:S:1:pos:R:3 pbc="T T T"
Na 0.0000 0.0000 0.0000
In -0.3409 -1.8645 2.8047
In -1.4443 1.2275 2.8047
In 1.7852 0.6370 2.8047
In 0.0000 0.0000 7.9296
In -1.7852 -0.6370 13.0545
In 1.4443 -1.2275 13.0545
In 0.3409 1.8645 13.0545
Pb -2.3570 -1.9305 6.8423
Pb -3.2174 1.2565 5.6813
Pb 0.5205 -3.4146 5.6813
Pb -2.6969 -2.1581 10.1779
Pb -2.8504 1.0759 9.0169
Pb 0.4934 -3.0065 9.0169
Pb -0.4934 3.0065 6.8423
Pb 2.8504 -1.0759 6.8423
Pb 2.6969 2.1581 5.6813
Pb -0.5205 3.4146 10.1779
Pb 3.2174 -1.2565 10.1779
Pb 2.3570 1.9306 9.0169
```

=====

No. 5
Zn2InSb | PBE | relaxed

Calculated values
Energy above the most stable polymorph in this dataset: 11 kJ/mol of formula units
Formation energy (no corrections): 0.12 eV/atom
Space group: No. 35
Electronic total energy: -2.233 eV/atom

Structure (extended XYZ):
```
8
Lattice="4.3580 0.0000 0.0000 0.0000 4.7172 0.0000 0.0000 0.0000 8.5407" Properties=species:S:1:pos:R:3 pbc="T T T"
Zn 0.0000 0.0000 0.0000
Zn 0.0000 2.3586 1.5030
Zn 2.1790 0.0000 1.5030
Zn 2.1790 2.3586 0.0000
In 0.0000 2.3586 6.3767
In 2.1790 0.0000 6.3767
Sb 0.0000 0.0000 3.6545
Sb 2.1790 2.3586 3.6545
```

=====

No. 6
KTaHg | PBE | relaxed

Calculated values
Energy above the most stable polymorph in this dataset: 224 kJ/mol of formula units
Space group: No. 129
Electronic total energy: -3.356 eV/atom
Formation energy: 1061 meV per atom

Structure (extended XYZ):
```
6
Lattice="5.3287 0.0000 0.0000 0.0000 5.3287 0.0000 0.0000 0.0000 7.3234" Properties=species:S:1:pos:R:3 pbc="T T T"
K 1.3322 1.3322 0.9265
K 3.9965 3.9965 6.3969
Ta 1.3322 1.3322 4.3090
Ta 3.9965 3.9965 3.0144
Hg 1.3322 3.9965 3.6617
Hg 3.9965 1.3322 3.6617
```

=====

No. 7
Ce2Th6In | PBE | relaxed

Calculated values
Space group: No. 160
Electronic total energy: -6.222 eV/atom
Formation energy: 347 meV per atom

Structure (extended XYZ):
```
9
Lattice="3.4445 1.9887 7.7495 -3.4445 1.9887 7.7495 0.0000 -3.9774 7.7495" Properties=species:S:1:pos:R:3 pbc="T T T"
Ce 0.0000 0.0000 0.0000
Ce 0.0000 0.0000 4.0482
Th -1.8131 -1.0468 12.1841
Th 0.0000 -1.9964 14.9945
Th -1.7289 0.9982 14.9945
Th 1.8131 -1.0468 12.1841
Th 0.0000 2.0936 12.1841
Th 1.7289 0.9982 14.9945
In 0.0000 0.0000 9.7534
```

=====

No. 8
TmCuSb | PBE | relaxed

Calculated values
Formation energy (no corrections): -0.53 eV/atom
Space group: No. 216
Electronic total energy: -4.763 eV/atom

Structure (extended XYZ):
```
12
Lattice="6.4163 0.0000 0.0000 0.0000 6.4163 0.0000 0.0000 0.0000 6.4163" Properties=species:S:1:pos:R:3 pbc="T T T"
Tm 0.0000 0.0000 0.0000
Tm 0.0000 3.2081 3.2081
Tm 3.2081 0.0000 3.2081
Tm 3.2081 3.2081 0.0000
Cu 1.6041 1.6041 4.8122
Cu 1.6041 4.8122 1.6041
Cu 4.8122 1.6041 1.6041
Cu 4.8122 4.8122 4.8122
Sb 0.0000 0.0000 3.2081
Sb 0.0000 3.2081 0.0000
Sb 3.2081 0.0000 0.0000
Sb 3.2081 3.2081 3.2081
```

=====

No. 9
NaAgAsF2 | PBE | relaxed

Calculated values
Formation energy (no corrections): -0.74 eV/atom
Space group: No. 123
Electronic total energy: -3.253 eV/atom

Structure (extended XYZ):
```
5
Lattice="4.0571 0.0000 0.0000 0.0000 4.0571 0.0000 0.0000 0.0000 5.2459" Properties=species:S:1:pos:R:3 pbc="T T T"
Na 0.0000 0.0000 0.0000
Ag 0.0000 0.0000 2.6229
As 2.0285 2.0285 2.6229
F 0.0000 2.0285 0.0000
F 2.0285 0.0000 0.0000
```

=====

No. 10
TlCrSi2 | PBE | relaxed

Calculated values
Energy above the most stable polymorph in this dataset: 111 kJ/mol of formula units
Formation energy (no corrections): 0.52 eV/atom
Space group: No. 122
Electronic total energy: -5.184 eV/atom

Structure (extended XYZ):
```
16
Lattice="4.3846 0.0000 0.0000 0.0000 4.3846 0.0000 0.0000 0.0000 16.6057" Properties=species:S:1:pos:R:3 pbc="T T T"
Tl 0.0000 0.0000 0.0000
Tl 0.0000 2.1923 4.1514
Tl 2.1923 0.0000 12.4542
Tl 2.1923 2.1923 8.3028
Cr 0.0000 0.0000 8.3028
Cr 0.0000 2.1923 12.4542
Cr 2.1923 0.0000 4.1514
Cr 2.1923 2.1923 0.0000
Si 0.5800 1.0962 10.3785
Si 1.0962 2.7723 14.5299
Si 1.0962 3.8046 6.2271
Si 1.6123 1.0962 2.0757
Si 2.7723 3.2885 2.0757
Si 3.2885 0.5800 6.2271
Si 3.2885 1.6123 14.5299
Si 3.8046 3.2885 10.3785
```

=====

No. 11
LaSnF | PBE | relaxed

Calculated values
Energy above the most stable polymorph in this dataset: 7 kJ/mol of formula units
Formation energy (no corrections): -1.97 eV/atom
Space group: No. 187
Electronic total energy: -5.569 eV/atom

Structure (extended XYZ):
```
3
Lattice="4.1000 0.0000 0.0000 -2.0500 3.5507 0.0000 0.0000 0.0000 5.3865" Properties=species:S:1:pos:R:3 pbc="T T T"
La 0.0000 0.0000 0.0000
Sn 2.0500 1.1836 2.6933
F 0.0000 2.3671 0.0000
```

=====

No. 12
La3Er5Se12 | PBE | relaxed

Calculated values
Formation energy (no corrections): -1.80 eV/atom
Space group: No. 230
Electronic total energy: -5.770 eV/atom

Structure (extended XYZ):
```
80
Lattice="-8.5135 8.5135 8.5135 8.5135 -8.5135 8.5135 8.5135 8.5135 -8.5135" Properties=species:S:1:pos:R:3 pbc="T T T"
La 4.2567 2.1284 0.0000
La 8.5135 4.2567 -2.1284
La 2.1284 0.0000 4.2567
La 10.6419 0.0000 4.2567
La 0.0000 4.2567 2.1284
La 4.2567 -2.1284 8.5135
La 4.2567 10.6419 0.0000
La 8.5135 4.2567 6.3851
La -2.1284 8.5135 4.2567
La 6.3851 8.5135 4.2567
La 0.0000 4.2567 10.6419
La 4.2567 6.3851 8.5135
Er 0.0000 0.0000 0.0000
Er 4.2567 4.2567 -4.2567
Er 4.2567 -4.2567 4.2567
Er 8.5135 0.0000 0.0000
Er 12.7702 2.1284 0.0000
Er 8.5135 -4.2567 6.3851
Er 6.3851 8.5135 -4.2567
Er 6.3851 0.0000 4.2567
Er 4.2567 6.3851 0.0000
Er 8.5135 4.2567 2.1284
Er -4.2567 4.2567 4.2567
Er 0.0000 8.5135 0.0000
Er 0.0000 0.0000 8.5135
Er 4.2567 4.2567 4.2567
Er 0.0000 4.2567 6.3851
Er 4.2567 2.1284 8.5135
Er 2.1284 8.5135 4.2567
Er 2.1284 0.0000 12.7702
Er 0.0000 12.7702 2.1284
Er -4.2567 6.3851 8.5135
Se 2.5792 -0.3954 1.1325
Se 10.1910 5.3892 -4.6521
Se 8.1181 -1.1325 2.5792
Se 13.1656 -1.6775 3.1243
Se 11.0927 0.3954 1.1325
Se 10.1910 -3.1243 4.6521
Se 1.1325 2.5792 -0.3954
Se 11.6378 3.8613 -1.6775
Se 5.3892 4.6521 -1.6775
Se 7.3810 2.5792 0.3954
Se -0.3954 1.1325 2.5792
Se 4.6521 -1.6775 5.3892
Se 8.1181 7.3810 -2.5792
Se 4.6521 1.6775 3.1243
Se 7.3810 -2.5792 8.1181
Se 5.3892 -4.6521 10.1910
Se 3.1243 4.6521 1.6775
Se 9.6459 5.9342 0.3954
Se 2.5792 8.1181 -1.1325
Se 10.1910 3.1243 3.8613
Se 4.6521 10.1910 -3.1243
Se 8.1181 1.1325 5.9342
Se 1.6775 3.1243 4.6521
Se 2.5792 0.3954 7.3810
Se 5.9342 8.1181 1.1325
Se 6.8360 5.3892 3.8613
Se 0.3954 7.3810 2.5792
Se 3.8613 -1.6775 11.6378
Se -1.6775 5.3892 4.6521
Se 5.9342 0.3954 9.6459
Se -1.1325 2.5792 8.1181
Se 5.3892 3.8613 6.8360
Se 3.1243 13.1656 -1.6775
Se 1.1325 11.0927 0.3954
Se 3.8613 6.8360 5.3892
Se 0.3954 1.1325 11.0927
Se 3.8613 10.1910 3.1243
Se 8.9089 7.3810 5.9342
Se 1.1325 5.9342 8.1181
Se 3.1243 3.8613 10.1910
Se -3.1243 4.6521 10.1910
Se 7.3810 5.9342 8.9089
Se -1.6775 11.6378 3.8613
Se -2.5792 8.1181 7.3810
Se -4.6521 10.1910 5.3892
Se 0.3954 9.6459 5.9342
Se -1.6775 3.1243 13.1656
Se 5.9342 8.9089 7.3810
```

=====

Number 1: density of states at the Fermi level 1.84 states/eV per cell. Number 2: density of states at the Fermi level 47.85 states/eV per cell. Number 3: density of states at the Fermi level 35.29 states/eV per cell. Number 4: density of states at the Fermi level 9.41 states/eV per cell. Number 5: density of states at the Fermi level 3.12 states/eV per cell. Number 6: density of states at the Fermi level 3.32 states/eV per cell. Number 7: density of states at the Fermi level 22.24 states/eV per cell. Number 8: density of states at the Fermi level 5.63 states/eV per cell. Number 9: density of states at the Fermi level 1.76 states/eV per cell. Number 10: density of states at the Fermi level 10.94 states/eV per cell. Number 11: density of states at the Fermi level 1.05 states/eV per cell. Number 12: density of states at the Fermi level 0.00 states/eV per cell.